Entry 1:
Crystalline Hf2Ag2O5 at its relaxed geometry, computed with PBE-GGA.

Results
* energy above the lowest structure with this stoichiometry: 1.454 eV per atom
* space-group type: No. 123

The structure in POSCAR format:
```
Hf2Ag2O5
1.0
4.129 0.000 0.000
0.000 4.129 0.000
0.000 0.000 6.561
Hf Ag O
2 2 5
direct
0.000 0.000 0.000
0.000 0.000 0.500
0.500 0.500 0.189
0.500 0.500 0.811
0.000 0.500 0.205
0.000 0.500 0.795
0.500 0.000 0.205
0.500 0.000 0.795
0.500 0.500 0.500
```

Entry 2:
Crystalline RbTbSnTe3 at its relaxed geometry, computed with PBE-GGA.

Results
* energy above the lowest structure with this stoichiometry: 0.120 eV per atom
* space-group type: No. 63

The structure in POSCAR format:
```
RbTbSnTe3
1.0
2.205 -8.628 0.000
2.205 8.628 0.000
0.000 0.000 12.827
Rb Tb Sn Te
2 2 2 6
direct
0.207 0.793 0.750
0.793 0.207 0.250
0.500 0.500 0.000
0.500 0.500 0.500
0.103 0.897 0.250
0.897 0.103 0.750
0.124 0.876 0.008
0.124 0.876 0.492
0.488 0.512 0.250
0.512 0.488 0.750
0.876 0.124 0.508
0.876 0.124 0.992
```

Entry 3:
Crystalline LiCdAg2 at its relaxed geometry, computed with PBE-GGA.

Results
* space-group type: No. 59
* uncorrected energy: -2.310 eV per atom

The structure in POSCAR format:
```
LiCdAg2
1.0
4.788 0.000 0.000
0.000 5.918 0.000
0.000 0.000 5.015
Li Cd Ag
2 2 4
direct
0.250 0.250 0.185
0.750 0.750 0.815
0.250 0.750 0.172
0.750 0.250 0.828
0.250 0.000 0.676
0.250 0.500 0.676
0.750 0.000 0.324
0.750 0.500 0.324
```

Entry 4:
Crystalline SrCoB at its relaxed geometry, computed with PBE-GGA.

Results
* energy above the lowest structure with this stoichiometry: 0.885 eV per atom
* space-group type: No. 216

The structure in POSCAR format:
```
SrCoB
1.0
0.000 3.300 3.300
3.300 0.000 3.300
3.300 3.300 0.000
Sr Co B
1 1 1
direct
0.000 0.000 0.000
0.250 0.250 0.250
0.750 0.750 0.750
```

Entry 5:
Crystalline Tm2TcO4 at its relaxed geometry, computed with PBE-GGA.

Results
* space-group type: No. 227
* uncorrected energy: -8.021 eV per atom

The structure in POSCAR format:
```
Tm2TcO4
1.0
0.000 4.694 4.694
4.694 0.000 4.694
4.694 4.694 0.000
Tm Tc O
4 2 8
direct
0.000 0.000 0.000
0.000 0.000 0.500
0.000 0.500 0.000
0.500 0.000 0.000
0.375 0.375 0.375
0.625 0.625 0.625
0.211 0.763 0.763
0.237 0.237 0.237
0.237 0.237 0.789
0.237 0.789 0.237
0.763 0.211 0.763
0.763 0.763 0.211
0.763 0.763 0.763
0.789 0.237 0.237
```

Entry 6:
Crystalline ZnCoSiAg at its relaxed geometry, computed with PBE-GGA.

Results
* energy above the lowest structure with this stoichiometry: 0.093 eV per atom
* space-group type: No. 216

The structure in POSCAR format:
```
ZnCoSiAg
1.0
0.000 3.022 3.022
3.022 0.000 3.022
3.022 3.022 0.000
Zn Co Si Ag
1 1 1 1
direct
0.000 0.000 0.000
0.500 0.500 0.500
0.250 0.250 0.250
0.750 0.750 0.750
```

Entry 7:
Crystalline ZrFeSiHg at its relaxed geometry, computed with PBE-GGA.

Results
* energy above the lowest structure with this stoichiometry: 0.000 eV per atom
* space-group type: No. 216

The structure in POSCAR format:
```
ZrFeSiHg
1.0
0.000 3.251 3.251
3.251 0.000 3.251
3.251 3.251 0.000
Zr Fe Si Hg
1 1 1 1
direct
0.000 0.000 0.000
0.500 0.500 0.500
0.250 0.250 0.250
0.750 0.750 0.750
```

Entry 8:
Crystalline TbAgSnTeS2 at its relaxed geometry, computed with PBE-GGA.

Results
* space-group type: No. 63
* uncorrected energy: -4.646 eV per atom

The structure in POSCAR format:
```
TbAgSnTeS2
1.0
2.035 -6.917 0.000
2.035 6.917 0.000
0.000 0.000 11.214
Tb Ag Sn Te S
2 2 2 2 4
direct
0.000 0.000 0.000
0.000 0.000 0.500
0.479 0.521 0.750
0.521 0.479 0.250
0.206 0.794 0.250
0.794 0.206 0.750
0.118 0.882 0.750
0.882 0.118 0.250
0.374 0.626 0.566
0.374 0.626 0.934
0.626 0.374 0.066
0.626 0.374 0.434
```

Entry 9:
Crystalline ZrZnInTe3 at its relaxed geometry, computed with PBE-GGA.

Results
* space-group type: No. 63
* uncorrected energy: -4.144 eV per atom

The structure in POSCAR format:
```
ZrZnInTe3
1.0
2.033 -7.750 0.000
2.033 7.750 0.000
0.000 0.000 10.929
Zr Zn In Te
2 2 2 6
direct
0.000 0.000 0.000
0.000 0.000 0.500
0.463 0.537 0.750
0.537 0.463 0.250
0.241 0.759 0.250
0.759 0.241 0.750
0.079 0.921 0.750
0.364 0.636 0.549
0.364 0.636 0.951
0.636 0.364 0.049
0.636 0.364 0.451
0.921 0.079 0.250
```

Entry 10:
Crystalline PrZnSi at its relaxed geometry, computed with PBE-GGA.

Results
* space-group type: No. 216
* uncorrected energy: -4.080 eV per atom

The structure in POSCAR format:
```
PrZnSi
1.0
0.000 3.240 3.240
3.240 0.000 3.240
3.240 3.240 0.000
Pr Zn Si
1 1 1
direct
0.000 0.000 0.000
0.250 0.250 0.250
0.500 0.500 0.500
```

Entry 11:
Crystalline Re2Sb4O13 at its relaxed geometry, computed with PBE-GGA.

Results
* space-group type: No. 2
* uncorrected energy: -6.998 eV per atom

The structure in POSCAR format:
```
Re2Sb4O13
1.0
7.615 0.000 0.000
3.665 8.437 0.000
3.548 1.685 9.082
Re Sb O
4 8 26
direct
0.158 0.167 0.131
0.317 0.044 0.719
0.683 0.956 0.281
0.842 0.833 0.869
0.201 0.775 0.459
0.222 0.405 0.389
0.298 0.663 0.059
0.321 0.460 0.768
0.679 0.540 0.232
0.702 0.337 0.941
0.778 0.595 0.611
0.799 0.225 0.541
0.058 0.685 0.917
0.070 0.597 0.507
0.135 0.122 0.871
0.145 0.523 0.205
0.147 0.196 0.302
0.158 0.970 0.165
0.207 0.066 0.583
0.345 0.651 0.611
0.375 0.636 0.303
0.377 0.192 0.000
0.426 0.507 0.907
0.439 0.840 0.774
0.485 0.156 0.647
0.515 0.844 0.353
0.561 0.160 0.226
0.574 0.493 0.093
0.623 0.808 0.000
0.625 0.364 0.697
0.655 0.349 0.389
0.793 0.934 0.417
0.842 0.030 0.835
0.853 0.804 0.698
0.855 0.477 0.795
0.865 0.878 0.129
0.930 0.403 0.493
0.942 0.315 0.083
```

Entry 12:
Crystalline Pr2Sc2O5 at its relaxed geometry, computed with PBE-GGA.

Results
* energy above the lowest structure with this stoichiometry: 0.488 eV per atom
* space-group type: No. 123

The structure in POSCAR format:
```
Pr2Sc2O5
1.0
3.775 0.000 0.000
0.000 3.775 0.000
0.000 0.000 10.199
Pr Sc O
2 2 5
direct
0.000 0.000 0.240
0.000 0.000 0.760
0.500 0.500 0.000
0.500 0.500 0.500
0.000 0.000 0.500
0.000 0.500 0.125
0.000 0.500 0.875
0.500 0.000 0.125
0.500 0.000 0.875
```

Number 1: calculated volume 111.9 Å³ per cell. Number 2: calculated volume 488.1 Å³ per cell. Number 3: calculated volume 142.1 Å³ per cell. Number 4: calculated volume 71.9 Å³ per cell. Number 5: calculated volume 206.8 Å³ per cell. Number 6: calculated volume 55.2 Å³ per cell. Number 7: calculated volume 68.7 Å³ per cell. Number 8: calculated volume 315.7 Å³ per cell. Number 9: calculated volume 344.4 Å³ per cell. Number 10: calculated volume 68.0 Å³ per cell. Number 11: calculated volume 583.5 Å³ per cell. Number 12: calculated volume 145.3 Å³ per cell.